## Li4Ti3V3Te2O16 (SCAN)

Data for a PBEsol-optimized structure of Li4Ti3V3Te2O16.

Values from the calculation:
Energy relative to the elements, uncorrected   -2445 meV/atom
Uncorrected energy   -12.60 eV per atom
Total magnetization   7.004 μB/cell
Space group   Cm (8)

Unit cell a=5.8624 b=5.8460 c=10.1676 alpha=89.89 beta=90.00 gamma=59.91
Atoms (fractional coordinates):
O1 0.9816 0.5138 0.6702
O2 0.9992 0.0016 0.1948
Te1 0.3362 0.3276 0.9989
O3 0.0237 0.4906 0.1677
O4 0.5132 0.9736 0.6741
O5 0.6590 0.6818 0.8981
Li1 0.9968 0.0065 0.0118
Ti1 0.3489 0.8192 0.7796
Li2 0.3352 0.3296 0.5995
O6 0.4904 0.0193 0.1720
Li3 0.6682 0.6635 0.0989
V1 0.1832 0.1707 0.2834
V2 0.8209 0.3581 0.7862
O7 0.3213 0.8384 0.3975
O8 0.8406 0.3188 0.3946
V3 0.6461 0.1706 0.2834
O9 0.1560 0.1632 0.8978
Li4 0.0004 0.9992 0.5087
O10 0.8403 0.8384 0.3975
O11 0.1593 0.6813 0.9000
O12 0.9982 0.0035 0.6931
O13 0.3311 0.3377 0.3982
O14 0.5046 0.5138 0.6702
O15 0.4857 0.4906 0.1677
Te2 0.6696 0.6608 0.4943
Ti2 0.1772 0.6455 0.2762
Ti3 0.8319 0.8192 0.7796
O16 0.6808 0.1632 0.8978

***

## LiMgRh2 (SCAN)

Data for a PBEsol-optimized structure of LiMgRh2.

Values from the calculation:
Uncorrected energy   -19.03 eV per atom
Total magnetization   0.000 μB/cell
Space group   C2/m (12)

Unit cell a=2.7709 b=4.5057 c=4.7310 alpha=101.15 beta=90.00 gamma=107.86
Atoms (fractional coordinates):
Rh1 0.7491 0.4982 0.7374
Rh2 0.2508 0.5018 0.2626
Li1 0.0000 0.0000 0.5000
Mg1 0.5000 0.0000 0.0000